Ti6FePd3: relaxed, PBE-GGA.

Output
E_form ... -2.2 eV/f.u.
Final energy ... -7.36 eV per atom
Total moment ... 0.00 Bohr magnetons per cell

Geometry as CIF:
```
data_Ti6FePd3
_cell_length_a 4.921
_cell_length_b 7.672
_cell_length_c 9.945
_cell_angle_alpha 90.00
_cell_angle_beta 119.02
_cell_angle_gamma 90.00
_symmetry_space_group_name_H-M 'P 1 21/c 1'
_symmetry_Int_Tables_number 14
loop_
_symmetry_equiv_pos_as_xyz
'x,y,z'
'-x,-y,-z'
'-x,y+1/2,-z+1/2'
'x,-y+1/2,z+1/2'
loop_
_atom_site_label
_atom_site_type_symbol
_atom_site_fract_x
_atom_site_fract_y
_atom_site_fract_z
_atom_site_occupancy
Ti1 Ti 0.009 0.192 0.442 1
Ti2 Ti 0.366 0.081 0.232 1
Ti3 Ti 0.381 0.665 0.465 1
Fe1 Fe 0.000 0.000 0.000 1
Pd1 Pd 0.093 0.096 0.742 1
Pd2 Pd 0.500 0.000 0.500 1
```

TiFe3Pd6: relaxed, PBE-GGA.

Output
E_form ... -1.9 eV/f.u.
Final energy ... -6.63 eV per atom
Total moment ... 19.15 Bohr magnetons per cell

Geometry as CIF:
```
data_TiFe3Pd6
_cell_length_a 7.263
_cell_length_b 4.454
_cell_length_c 9.552
_cell_angle_alpha 90.00
_cell_angle_beta 109.59
_cell_angle_gamma 90.00
_symmetry_space_group_name_H-M 'P 1 21/m 1'
_symmetry_Int_Tables_number 11
loop_
_symmetry_equiv_pos_as_xyz
'x,y,z'
'-x,-y,-z'
'-x,y+1/2,-z'
'x,-y+1/2,z'
loop_
_atom_site_label
_atom_site_type_symbol
_atom_site_fract_x
_atom_site_fract_y
_atom_site_fract_z
_atom_site_occupancy
Ti1 Ti 0.121 0.250 0.085 1
Fe1 Fe 0.103 0.750 0.729 1
Fe2 Fe 0.297 0.750 0.538 1
Fe3 Fe 0.302 0.250 0.861 1
Pd1 Pd 0.083 0.750 0.225 1
Pd2 Pd 0.100 0.250 0.570 1
Pd3 Pd 0.281 0.750 0.021 1
Pd4 Pd 0.299 0.250 0.372 1
Pd5 Pd 0.494 0.750 0.837 1
Pd6 Pd 0.495 0.750 0.329 1
```

TiFe2Pd: relaxed, PBE-GGA.

Output
E_form ... 0.4 eV/f.u.
Final energy ... -7.40 eV per atom
Total moment ... 0.00 Bohr magnetons per cell

Geometry as CIF:
```
data_TiFe2Pd
_cell_length_a 5.922
_cell_length_b 5.922
_cell_length_c 5.922
_cell_angle_alpha 90.00
_cell_angle_beta 90.00
_cell_angle_gamma 90.00
_symmetry_space_group_name_H-M 'F m -3 m'
_symmetry_Int_Tables_number 225
_symmetry_space_group_name_Hall '-F 4 2 3'
loop_
_atom_site_label
_atom_site_type_symbol
_atom_site_fract_x
_atom_site_fract_y
_atom_site_fract_z
_atom_site_occupancy
Ti1 Ti 0.000 0.000 0.000 1
Fe1 Fe 0.250 0.250 0.250 1
Pd1 Pd 0.000 0.000 0.500 1
```

Ti2FePd9: relaxed, PBE-GGA.

Output
E_form ... -5.6 eV/f.u.
Final energy ... -6.38 eV per atom
Total moment ... 4.65 Bohr magnetons per cell

Geometry as CIF:
```
data_Ti2FePd9
_cell_length_a 3.918
_cell_length_b 3.918
_cell_length_c 11.741
_cell_angle_alpha 90.00
_cell_angle_beta 90.00
_cell_angle_gamma 90.00
_symmetry_space_group_name_H-M 'P 4/m m m'
_symmetry_Int_Tables_number 123
_symmetry_space_group_name_Hall '-P 4 2'
loop_
_atom_site_label
_atom_site_type_symbol
_atom_site_fract_x
_atom_site_fract_y
_atom_site_fract_z
_atom_site_occupancy
Ti1 Ti 0.000 0.000 0.170 1
Fe1 Fe 0.000 0.000 0.500 1
Pd1 Pd 0.000 0.500 0.000 1
Pd2 Pd 0.000 0.500 0.333 1
Pd3 Pd 0.500 0.500 0.166 1
Pd4 Pd 0.500 0.500 0.500 1
```

TiFePd4: relaxed, PBE-GGA.

Output
E_form ... -2.3 eV/f.u.
Final energy ... -6.57 eV per atom
Total moment ... 5.40 Bohr magnetons per cell
Excess energy over the best structure of this formula in the dataset ... 0 meV/atom

Geometry as CIF:
```
data_TiFePd4
_cell_length_a 3.932
_cell_length_b 11.466
_cell_length_c 3.943
_cell_angle_alpha 90.00
_cell_angle_beta 90.00
_cell_angle_gamma 90.00
_symmetry_space_group_name_H-M 'C m m m'
_symmetry_Int_Tables_number 65
_symmetry_space_group_name_Hall '-C 2 2'
loop_
_atom_site_label
_atom_site_type_symbol
_atom_site_fract_x
_atom_site_fract_y
_atom_site_fract_z
_atom_site_occupancy
Ti1 Ti 0.000 0.000 0.000 1
Fe1 Fe 0.000 0.500 0.500 1
Pd1 Pd 0.000 0.159 0.500 1
Pd2 Pd 0.000 0.343 0.000 1
```

TiFe3Pd: relaxed, PBE-GGA.

Output
E_form ... 5.2 eV/f.u.
Final energy ... -6.66 eV per atom
Total moment ... 5.84 Bohr magnetons per cell
Excess energy over the best structure of this formula in the dataset ... 0 meV/atom

Geometry as CIF:
```
data_TiFe3Pd
_cell_length_a 4.267
_cell_length_b 4.267
_cell_length_c 4.267
_cell_angle_alpha 90.00
_cell_angle_beta 90.00
_cell_angle_gamma 90.00
_symmetry_space_group_name_H-M 'P m -3 m'
_symmetry_Int_Tables_number 221
_symmetry_space_group_name_Hall '-P 4 2 3'
loop_
_atom_site_label
_atom_site_type_symbol
_atom_site_fract_x
_atom_site_fract_y
_atom_site_fract_z
_atom_site_occupancy
Ti1 Ti 0.000 0.000 0.000 1
Fe1 Fe 0.000 0.000 0.500 1
Pd1 Pd 0.500 0.500 0.500 1
```

Ti5Fe4Pd: relaxed, PBE-GGA.

Output
E_form ... -4.3 eV/f.u.
Final energy ... -8.28 eV per atom
Total moment ... 0.00 Bohr magnetons per cell

Geometry as CIF:
```
data_Ti5Fe4Pd
_cell_length_a 2.920
_cell_length_b 2.920
_cell_length_c 15.806
_cell_angle_alpha 90.00
_cell_angle_beta 90.00
_cell_angle_gamma 90.00
_symmetry_space_group_name_H-M 'P 4/m m m'
_symmetry_Int_Tables_number 123
_symmetry_space_group_name_Hall '-P 4 2'
loop_
_atom_site_label
_atom_site_type_symbol
_atom_site_fract_x
_atom_site_fract_y
_atom_site_fract_z
_atom_site_occupancy
Ti1 Ti 0.000 0.000 0.000 1
Ti2 Ti 0.000 0.000 0.189 1
Ti3 Ti 0.000 0.000 0.379 1
Fe1 Fe 0.500 0.500 0.094 1
Fe2 Fe 0.500 0.500 0.284 1
Pd1 Pd 0.500 0.500 0.500 1
```

TiFe2Pd7: relaxed, PBE-GGA.

Output
E_form ... 2.7 eV/f.u.
Final energy ... -5.85 eV per atom
Total moment ... 14.26 Bohr magnetons per cell

Geometry as CIF:
```
data_TiFe2Pd7
_cell_length_a 7.245
_cell_length_b 12.588
_cell_length_c 4.085
_cell_angle_alpha 90.00
_cell_angle_beta 90.00
_cell_angle_gamma 90.00
_symmetry_space_group_name_H-M 'C m m m'
_symmetry_Int_Tables_number 65
_symmetry_space_group_name_Hall '-C 2 2'
loop_
_atom_site_label
_atom_site_type_symbol
_atom_site_fract_x
_atom_site_fract_y
_atom_site_fract_z
_atom_site_occupancy
Ti1 Ti 0.000 0.000 0.000 1
Fe1 Fe 0.000 0.306 0.500 1
Pd1 Pd 0.000 0.207 0.000 1
Pd2 Pd 0.000 0.500 0.500 1
Pd3 Pd 0.186 0.110 0.500 1
```

no.,volume (Å³ per atom)
1,16.4
2,14.6
3,13.0
4,15.0
5,14.8
6,15.5
7,13.5
8,18.6